Entry 1:
{"formula": "Ba2La2Zn", "functional": "GGA-PBE", "state": "relaxed", "lattice_angstrom": [[8.039, 0.000, 0.000], [0.000, 8.039, 0.000], [0.000, 0.000, 6.380]], "species": ["Ba", "La", "Ba", "Zn", "Ba", "La", "La", "Zn", "La", "Ba"], "frac_coords": [[0.823, 0.323, 0.500], [0.133, 0.367, 0.000], [0.323, 0.177, 0.500], [0.500, 0.500, 0.000], [0.677, 0.823, 0.500], [0.867, 0.633, 0.000], [0.633, 0.133, 0.000], [0.000, 0.000, 0.000], [0.367, 0.867, 0.000], [0.177, 0.677, 0.500]], "magmom_total_mub_per_fu": 0.00, "ef_mev_per_atom": 154.6, "e_tot_ev_per_atom": -2.840, "vol_a3_per_cell": 412.3, "dos_at_fermi_per_ev_cell": 15.000, "spacegroup": "P4/mbm, No. 127"}

Entry 2:
{"formula": "BaLaZn", "functional": "GGA-PBE", "state": "relaxed", "lattice_angstrom": [[-4.802, -1.864, -0.345], [3.434, -1.009, -3.720], [1.404, -4.062, 2.398]], "species": ["Zn", "Ba", "La"], "frac_coords": [[0.333, 0.667, 0.499], [0.000, 0.000, 0.000], [0.667, 0.333, 0.501]], "magmom_total_mub_per_fu": 0.00, "ef_mev_per_atom": 48.0, "e_tot_ev_per_atom": -2.660, "e_above_lowest_polymorph_mev_per_atom": 163, "vol_a3_per_cell": 113.6, "dos_at_fermi_per_ev_cell": 2.873, "spacegroup": "P-6m2, No. 187"}

Entry 3:
{"formula": "BaLa2Zn", "functional": "GGA-PBE", "state": "relaxed", "lattice_angstrom": [[11.586, 0.010, 0.006], [10.921, 3.869, 0.006], [10.921, 1.882, 3.381]], "species": ["Zn", "La", "La", "Ba"], "frac_coords": [[0.250, 0.250, 0.250], [0.519, 0.519, 0.519], [0.981, 0.981, 0.981], [0.750, 0.750, 0.750]], "magmom_total_mub_per_fu": 0.00, "ef_mev_per_atom": 37.1, "e_tot_ev_per_atom": -3.226, "vol_a3_per_cell": 151.0, "dos_at_fermi_per_ev_cell": 4.639, "spacegroup": "R-3m, No. 166"}

Entry 4:
{"formula": "BaLa2Zn", "functional": "GGA-PBE", "state": "relaxed", "lattice_angstrom": [[5.749, 0.000, 0.000], [2.874, 4.979, 0.000], [2.874, 1.660, 4.694]], "species": ["La", "Ba", "Zn", "La"], "frac_coords": [[0.000, 0.000, 0.000], [0.500, 0.500, 0.500], [0.750, 0.750, 0.750], [0.250, 0.250, 0.250]], "magmom_total_mub_per_fu": 1.67, "ef_mev_per_atom": 200.8, "e_tot_ev_per_atom": -3.062, "vol_a3_per_cell": 134.3, "dos_at_fermi_per_ev_cell": 5.344, "spacegroup": "F-43m, No. 216"}

Entry 5:
{"formula": "BaLaZn2", "functional": "GGA-PBE", "state": "relaxed", "lattice_angstrom": [[-4.003, -0.107, 3.832], [0.690, -3.775, 0.615], [3.722, 1.317, 3.926]], "species": ["Zn", "Ba", "La", "Zn"], "frac_coords": [[0.500, 0.125, 0.353], [0.000, 0.625, 0.387], [0.500, 0.625, 0.868], [0.000, 0.125, 0.892]], "magmom_total_mub_per_fu": 0.00, "ef_mev_per_atom": -175.8, "e_tot_ev_per_atom": -2.525, "vol_a3_per_cell": 120.0, "dos_at_fermi_per_ev_cell": 3.063, "spacegroup": "Pmm2, No. 25"}

Entry 6:
{"formula": "BaLa2Zn2", "functional": "GGA-PBE", "state": "relaxed", "lattice_angstrom": [[-0.593, -1.103, 4.950], [0.100, -4.985, -1.099], [6.021, -3.082, 2.667]], "species": ["La", "Ba", "La", "Zn", "Zn"], "frac_coords": [[0.750, 0.250, 0.500], [0.000, 0.000, 0.000], [0.250, 0.750, 0.500], [0.401, 0.401, 0.197], [0.599, 0.599, 0.803]], "magmom_total_mub_per_fu": 0.00, "ef_mev_per_atom": -76.1, "e_tot_ev_per_atom": -2.941, "e_above_lowest_polymorph_mev_per_atom": 47, "vol_a3_per_cell": 164.5, "dos_at_fermi_per_ev_cell": 5.856, "spacegroup": "I4/mmm, No. 139"}

Entry 7:
{"formula": "BaLa3Zn", "functional": "GGA-PBE", "state": "relaxed", "lattice_angstrom": [[5.929, 0.000, 0.000], [0.000, 5.929, 0.000], [0.000, 0.000, 5.929]], "species": ["La", "Ba", "La", "Zn", "La"], "frac_coords": [[0.000, 0.500, 0.000], [0.500, 0.500, 0.500], [0.500, 0.000, 0.000], [0.000, 0.000, 0.000], [0.000, 0.000, 0.500]], "magmom_total_mub_per_fu": 0.00, "ef_mev_per_atom": 108.9, "e_tot_ev_per_atom": -3.487, "e_above_lowest_polymorph_mev_per_atom": 0, "vol_a3_per_cell": 208.4, "dos_at_fermi_per_ev_cell": 6.346, "spacegroup": "Pm-3m, No. 221"}

Entry 8:
{"formula": "BaLaZn2", "functional": "GGA-PBE", "state": "relaxed", "lattice_angstrom": [[3.918, -0.012, 0.000], [0.010, 3.918, 0.000], [0.000, 0.000, 8.332]], "species": ["La", "Ba", "Zn", "Zn"], "frac_coords": [[0.500, 0.500, 0.837], [0.000, 0.000, 0.438], [0.000, 0.000, 0.026], [0.500, 0.500, 0.199]], "magmom_total_mub_per_fu": 0.00, "ef_mev_per_atom": -27.7, "e_tot_ev_per_atom": -2.377, "vol_a3_per_cell": 127.9, "dos_at_fermi_per_ev_cell": 3.609, "spacegroup": "P4mm, No. 99"}

Entry 9:
{"formula": "Ba2LaZn6", "functional": "GGA-PBE", "state": "relaxed", "lattice_angstrom": [[3.982, 0.118, -0.149], [-0.366, 7.187, -4.077], [0.320, -0.053, 8.267]], "species": ["Ba", "La", "Ba", "Zn", "Zn", "Zn", "Zn", "Zn", "Zn"], "frac_coords": [[0.000, 0.667, 0.334], [0.000, 0.000, 0.000], [0.000, 0.333, 0.666], [0.500, 0.000, 0.676], [0.500, 0.000, 0.324], [0.500, 0.675, 0.000], [0.500, 0.676, 0.676], [0.500, 0.324, 0.324], [0.500, 0.325, 0.000]], "magmom_total_mub_per_fu": 0.00, "ef_mev_per_atom": -205.7, "e_tot_ev_per_atom": -2.030, "vol_a3_per_cell": 236.3, "dos_at_fermi_per_ev_cell": 7.236, "spacegroup": "C2/m, No. 12"}

Entry 10:
{"formula": "BaLaZn2", "functional": "GGA-PBE", "state": "relaxed", "lattice_angstrom": [[-6.290, -5.398, 1.903], [3.714, -6.001, -4.746], [0.692, -6.918, 1.669]], "species": ["Zn", "La", "La", "Ba", "Zn", "Zn", "Zn", "Ba"], "frac_coords": [[0.875, 0.902, 0.750], [0.000, 0.000, 0.000], [0.750, 0.250, 0.500], [0.500, 0.500, 0.000], [0.098, 0.625, 0.250], [0.375, 0.348, 0.750], [0.652, 0.125, 0.250], [0.250, 0.750, 0.500]], "magmom_total_mub_per_fu": 0.00, "ef_mev_per_atom": 128.2, "e_tot_ev_per_atom": -2.221, "vol_a3_per_cell": 279.7, "dos_at_fermi_per_ev_cell": 12.797, "spacegroup": "I-42d, No. 122"}

Entry 11:
{"formula": "BaLa2Zn", "functional": "GGA-PBE", "state": "relaxed", "lattice_angstrom": [[7.079, 0.001, 0.003], [-2.426, 5.501, 0.002], [0.881, 0.716, 3.608]], "species": ["La", "La", "Ba", "Zn"], "frac_coords": [[0.000, 0.000, 0.000], [0.000, 0.500, 0.500], [0.500, 0.000, 0.500], [0.500, 0.500, 0.000]], "magmom_total_mub_per_fu": 0.00, "ef_mev_per_atom": 144.2, "e_tot_ev_per_atom": -3.119, "vol_a3_per_cell": 140.5, "dos_at_fermi_per_ev_cell": 5.113, "spacegroup": "C2/m, No. 12"}

Entry 12:
{"formula": "BaLa2Zn6", "functional": "GGA-PBE", "state": "relaxed", "lattice_angstrom": [[-0.735, -0.876, 3.612], [6.223, -5.314, -0.023], [1.279, 7.789, 2.153]], "species": ["Zn", "Zn", "Zn", "Zn", "Ba", "Zn", "Zn", "La", "La"], "frac_coords": [[0.500, 0.340, 0.000], [0.500, 0.340, 0.340], [0.500, 0.000, 0.660], [0.500, 0.000, 0.340], [0.000, 0.000, 0.000], [0.500, 0.660, 0.000], [0.500, 0.660, 0.660], [0.000, 0.333, 0.667], [0.000, 0.667, 0.333]], "magmom_total_mub_per_fu": 0.00, "ef_mev_per_atom": -267.0, "e_tot_ev_per_atom": -2.425, "vol_a3_per_cell": 219.6, "dos_at_fermi_per_ev_cell": 7.389, "spacegroup": "P6/mmm, No. 191"}

Entry 13:
{"formula": "BaLa2Zn", "functional": "GGA-PBE", "state": "relaxed", "lattice_angstrom": [[6.551, 0.015, 1.024], [5.510, 3.543, 1.024], [2.990, 0.882, 6.940]], "species": ["Zn", "Ba", "La", "La"], "frac_coords": [[0.743, 0.743, 0.416], [0.052, 0.052, 0.348], [0.736, 0.736, 0.816], [0.969, 0.969, 0.920]], "magmom_total_mub_per_fu": 0.00, "ef_mev_per_atom": 219.2, "e_tot_ev_per_atom": -3.044, "vol_a3_per_cell": 148.8, "dos_at_fermi_per_ev_cell": 5.098, "spacegroup": "Cm, No. 8"}

Entry 14:
{"formula": "BaLaZn2", "functional": "GGA-PBE", "state": "relaxed", "lattice_angstrom": [[5.178, -0.069, -0.045], [2.646, 4.451, -0.045], [2.662, 1.491, 5.776]], "species": ["Zn", "Zn", "La", "Ba"], "frac_coords": [[0.549, 0.549, 0.354], [0.951, 0.951, 0.146], [0.250, 0.250, 0.250], [0.750, 0.750, 0.750]], "magmom_total_mub_per_fu": 0.00, "ef_mev_per_atom": -124.8, "e_tot_ev_per_atom": -2.474, "vol_a3_per_cell": 134.9, "dos_at_fermi_per_ev_cell": 4.194, "spacegroup": "R-3m, No. 166"}

Entry 15:
{"formula": "Ba2LaZr", "functional": "GGA-PBE", "state": "relaxed", "lattice_angstrom": [[-6.762, 0.704, -3.550], [-2.497, -5.478, -4.752], [2.068, 2.469, 6.961]], "species": ["La", "Ba", "Ba", "Zr"], "frac_coords": [[0.455, 0.455, 0.000], [0.742, 0.242, 0.500], [0.035, 0.035, 0.000], [0.268, 0.768, 0.500]], "magmom_total_mub_per_fu": 0.11, "ef_mev_per_atom": 458.4, "e_tot_ev_per_atom": -3.872, "e_above_lowest_polymorph_mev_per_atom": 131, "vol_a3_per_cell": 165.5, "dos_at_fermi_per_ev_cell": 6.732, "spacegroup": "Imm2, No. 44"}

Entry 16:
{"formula": "Ba2LaZr", "functional": "GGA-PBE", "state": "relaxed", "lattice_angstrom": [[5.229, 0.000, 0.000], [0.000, 5.229, 0.000], [0.000, 0.000, 5.708]], "species": ["Ba", "Zr", "Ba", "La"], "frac_coords": [[0.000, 0.000, 0.000], [0.000, 0.500, 0.500], [0.500, 0.500, 0.000], [0.500, 0.000, 0.500]], "magmom_total_mub_per_fu": 0.01, "ef_mev_per_atom": 536.5, "e_tot_ev_per_atom": -3.794, "e_above_lowest_polymorph_mev_per_atom": 209, "vol_a3_per_cell": 156.0, "dos_at_fermi_per_ev_cell": 7.500, "spacegroup": "P4/mmm, No. 123"}

Entry 17:
{"formula": "BaLa2Zr", "functional": "GGA-PBE", "state": "relaxed", "lattice_angstrom": [[5.870, 0.000, 0.000], [2.935, 5.083, 0.000], [2.935, 1.694, 4.792]], "species": ["La", "Zr", "La", "Ba"], "frac_coords": [[0.000, 0.000, 0.000], [0.750, 0.750, 0.750], [0.250, 0.250, 0.250], [0.500, 0.500, 0.500]], "magmom_total_mub_per_fu": 1.94, "ef_mev_per_atom": 463.6, "e_tot_ev_per_atom": -4.618, "e_above_lowest_polymorph_mev_per_atom": 277, "vol_a3_per_cell": 143.0, "dos_at_fermi_per_ev_cell": 5.394, "spacegroup": "F-43m, No. 216"}

Entry 18:
{"formula": "Ba2LaZr2", "functional": "GGA-PBE", "state": "relaxed", "lattice_angstrom": [[-0.129, 3.775, -1.315], [-3.936, 0.109, 0.699], [0.207, 6.180, 11.637]], "species": ["Ba", "Zr", "La", "Ba", "Zr"], "frac_coords": [[0.620, 0.620, 0.761], [0.250, 0.750, 0.500], [0.000, 0.000, 0.000], [0.380, 0.380, 0.239], [0.750, 0.250, 0.500]], "magmom_total_mub_per_fu": 1.07, "ef_mev_per_atom": 562.2, "e_tot_ev_per_atom": -4.612, "e_above_lowest_polymorph_mev_per_atom": 0, "vol_a3_per_cell": 205.8, "dos_at_fermi_per_ev_cell": 9.142, "spacegroup": "I4/mmm, No. 139"}

Entry 19:
{"formula": "Ba2LaZr", "functional": "GGA-PBE", "state": "relaxed", "lattice_angstrom": [[-3.625, 0.291, 0.069], [0.840, -3.423, -0.897], [-0.026, -3.208, 12.221]], "species": ["Ba", "La", "Ba", "Zr"], "frac_coords": [[0.000, 0.000, 0.523], [0.500, 0.500, 0.250], [0.000, 0.000, 0.977], [0.500, 0.500, 0.750]], "magmom_total_mub_per_fu": 1.27, "ef_mev_per_atom": 548.6, "e_tot_ev_per_atom": -3.782, "e_above_lowest_polymorph_mev_per_atom": 221, "vol_a3_per_cell": 158.9, "dos_at_fermi_per_ev_cell": 6.454, "spacegroup": "Cmmm, No. 65"}

Entry 20:
{"formula": "BaLa2Zr", "functional": "GGA-PBE", "state": "relaxed", "lattice_angstrom": [[9.171, 0.000, 0.000], [0.000, 9.171, 0.000], [4.585, 4.585, 3.547]], "species": ["La", "La", "Ba", "Zr", "Ba", "La", "La", "Zr"], "frac_coords": [[0.875, 0.835, 0.750], [0.585, 0.125, 0.250], [0.000, 0.000, 0.000], [0.250, 0.750, 0.500], [0.750, 0.250, 0.500], [0.375, 0.415, 0.750], [0.165, 0.625, 0.250], [0.500, 0.500, 0.000]], "magmom_total_mub_per_fu": 1.62, "ef_mev_per_atom": 618.8, "e_tot_ev_per_atom": -4.463, "e_above_lowest_polymorph_mev_per_atom": 432, "vol_a3_per_cell": 298.3, "dos_at_fermi_per_ev_cell": 12.361, "spacegroup": "I-42d, No. 122"}